Record 1
## Ti2BiPd (PBE)

Data for a geometry-optimized Ti2BiPd structure.

The formation energy is -31 meV/atom. The total moment is 0.0 μB per formula unit.

The space group is I-42d (No. 122) and the conventional cell measures 7.4426, 7.4426 and 5.7772 Å, with angles of 90.00, 90.00 and 90.00 degrees. Symmetry generates all atoms from Ti at (0.2182, 0.2500, 0.1250), Bi at (0.0000, 0.0000, 0.5000) and Pd at (0.0000, 0.0000, 0.0000).

Record 2
## Ti2BiPd (PBE)

Data for a geometry-optimized Ti2BiPd structure.

The formation energy is -261 meV/atom. The total moment is 0.0 μB per formula unit.

The space group is P4/mmm (No. 123) and the conventional cell measures 4.1343, 4.1343 and 4.2707 Å, with angles of 90.00, 90.00 and 90.00 degrees. Symmetry generates all atoms from Ti at (0.0000, 0.5000, 0.0000), Bi at (0.0000, 0.0000, 0.5000) and Pd at (0.5000, 0.5000, 0.5000).

Record 3
## TiBi2Pd8 (PBE)

Data for a geometry-optimized TiBi2Pd8 structure.

The formation energy is -240 meV/atom. The total moment is 0.0 μB per formula unit.

The space group is C2/m (No. 12) and the conventional cell measures 7.6278, 13.5718 and 4.1455 Å, with angles of 90.00, 107.03 and 90.00 degrees. Symmetry generates all atoms from Ti at (0.0000, 0.0000, 0.0000), Bi at (0.0000, 0.3225, 0.5000), Pd at (0.0000, 0.1957, 0.0000), Pd at (0.1343, 0.5000, 0.8223) and Pd at (0.1847, 0.1018, 0.5951).

Record 4
## TiBi4Pd15 (PBE)

Data for a geometry-optimized TiBi4Pd15 structure.

The formation energy is -308 meV/atom. The total moment is 0.0 μB per formula unit.

The space group is P4/mmm (No. 123) and the conventional cell measures 4.0932, 4.0932 and 20.5618 Å, with angles of 90.00, 90.00 and 90.00 degrees. Symmetry generates all atoms from Ti at (0.0000, 0.0000, 0.0000), Bi at (0.0000, 0.0000, 0.1936), Bi at (0.0000, 0.0000, 0.3977), Pd at (0.0000, 0.5000, 0.0888), Pd at (0.0000, 0.5000, 0.2956), Pd at (0.0000, 0.5000, 0.5000), Pd at (0.5000, 0.5000, 0.0000), Pd at (0.5000, 0.5000, 0.1930) and Pd at (0.5000, 0.5000, 0.3976).

Record 5
## TlBiPd14 (PBE)

Data for a geometry-optimized TlBiPd14 structure.

The formation energy is -107 meV/atom. The total moment is 0.0 μB per formula unit.

The space group is P4/mmm (No. 123) and the conventional cell measures 5.7956, 5.7956 and 7.7764 Å, with angles of 90.00, 90.00 and 90.00 degrees. Symmetry generates all atoms from Tl at (0.0000, 0.0000, 0.0000), Bi at (0.5000, 0.5000, 0.0000), Pd at (0.0000, 0.0000, 0.5000), Pd at (0.0000, 0.5000, 0.0000), Pd at (0.0000, 0.5000, 0.5000), Pd at (0.2499, 0.2499, 0.2565) and Pd at (0.5000, 0.5000, 0.5000).

Record 6
## TlBiPd4 (PBE)

Data for a geometry-optimized TlBiPd4 structure.

The formation energy is -183 meV/atom. The total moment is 0.0 μB per formula unit. The calculation puts the offset from the most stable computed form at 0.000 eV per atom.

The space group is C2/m (No. 12) and the conventional cell measures 9.4326, 3.5757 and 7.1823 Å, with angles of 90.00, 113.11 and 90.00 degrees. Symmetry generates all atoms from Tl at (0.0000, 0.0000, 0.0000), Bi at (0.0000, 0.0000, 0.5000), Pd at (0.1643, 0.5000, 0.8422) and Pd at (0.1734, 0.5000, 0.3260).